Entry 1:
MgIrRu2 | PBE | optimized geometry

- Total DFT energy (no corrections): -7.240 eV/atom
- Total magnetization: 0.000 μB per formula unit
- N(E_F): 4.129 states/eV/cell
- Energy of formation from the pure elements: 0.0117 eV per atom
- Space group: Cm (8)

abc: 4.7782 4.7782 4.7420
angles: 80.07 80.07 33.50
Fractional coordinates of all 4 atoms:
1 Ru 0.0098 0.0098 0.9694
2 Ru 0.7535 0.7535 0.7758
3 Mg 0.2460 0.2460 0.2698
4 Ir 0.4906 0.4906 0.4851

=====

Entry 2:
GaSbAuI2 | PBE | optimized geometry

- Total DFT energy (no corrections): -2.414 eV/atom
- Total magnetization: 1.384 μB per formula unit
- N(E_F): 2.677 states/eV/cell
- Polymorph energy (0 for the lowest one): 0.0 kJ/mol of atoms
- Space group: P4/mmm (123)

abc: 5.8592 5.8592 5.3539
angles: 90.00 90.00 90.00
Fractional coordinates of all 5 atoms:
1 I 0.0000 0.5000 0.0000
2 I 0.5000 0.0000 0.0000
3 Sb 0.0000 0.0000 0.5000
4 Au 0.0000 0.0000 0.0000
5 Ga 0.5000 0.5000 0.5000